MnAsNF2 | PBE with a Hubbard U | optimized geometry

a b c (Å): 3.887 3.887 4.370
angles (deg): 90.00 90.00 90.00
Fractional coordinates of all 5 atoms:
Mn  0.000  0.000  0.000
As  0.500  0.500  0.500
N  0.000  0.000  0.500
F  0.000  0.500  0.000
F  0.500  0.000  0.000

volume: 13.21 A^3/atom
uncorrected energy: -5.33 eV per atom
SG: No. 123